(1)
Material: Ba6IrPt2Au
Method: DFT, GGA-PBE
State: relaxed

Energy, eV per atom: -4.06
Formation energy from the elements, eV/atom: -0.481

Cell lengths 7.930, 7.933, 8.766 Å; angles 63.12, 63.14, 60.09 degrees
Space group P1 (No. 1)
Unique sites:
Ba (0.000, 0.000, 0.000) x1
Ba (0.133, 0.528, 0.480) x1
Ba (0.281, 0.332, 0.999) x1
Ba (0.471, 0.851, 0.481) x1
Ba (0.612, 0.720, 0.000) x1
Ba (0.810, 0.189, 0.481) x1
Ir (0.212, 0.931, 0.257) x1
Pt (0.392, 0.111, 0.717) x1
Pt (0.886, 0.605, 0.235) x1
Au (0.711, 0.429, 0.764) x1

---

(2)
Material: Be2WBr
Method: DFT, GGA-PBE
State: relaxed

ΔE to the lowest computed polymorph, eV/f.u.: 2.438
Energy, eV per atom: -4.52
Uncorrected formation energy, eV/atom: 0.996

Cell lengths 5.540, 8.180, 2.869 Å; angles 90.00, 118.96, 90.00 degrees
Space group C2/m (No. 12)
Unique sites:
Be (0.250, 0.250, 0.000) x4
W (0.000, 0.000, 0.500) x2
Br (0.000, 0.500, 0.500) x2

---

(3)
Material: LaNb3Cd
Method: DFT, GGA-PBE
State: relaxed

ΔE to the lowest computed polymorph, eV/f.u.: 0.000
Energy, eV per atom: -5.66
Formation energy from the elements, eV/atom: 1.546

Cell lengths 5.135, 5.135, 5.135 Å; angles 90.00, 90.00, 90.00 degrees
Space group Pm-3m (No. 221)
Unique sites:
La (0.000, 0.000, 0.000) x1
Nb (0.000, 0.500, 0.500) x3
Cd (0.500, 0.500, 0.500) x1

---

(4)
Material: NbZn3Ge
Method: DFT, GGA-PBE
State: relaxed

ΔE to the lowest computed polymorph, eV/f.u.: 0.725
Energy, eV per atom: -2.58
Formation energy from the elements, eV/atom: 1.120

Cell lengths 4.995, 4.995, 4.995 Å; angles 90.00, 90.00, 90.00 degrees
Space group Pm-3m (No. 221)
Unique sites:
Nb (0.000, 0.000, 0.000) x1
Zn (0.000, 0.000, 0.500) x3
Ge (0.500, 0.500, 0.500) x1

---

(5)
Material: SrAc2Pt
Method: DFT, GGA-PBE
State: relaxed

ΔE to the lowest computed polymorph, eV/f.u.: 0.020
Energy, eV per atom: -4.58
Formation energy from the elements, eV/atom: -0.593

Cell lengths 4.3850, 4.3850, 31.4756 Å; angles 90.00, 90.00, 120.00 degrees
Space group R-3m (No. 166, hexagonal axes)
Unique sites:
Sr (0.0000, 0.0000, 0.0000) x3
Ac (0.0000, 0.0000, 0.2199) x6
Pt (0.0000, 0.0000, 0.5000) x3

---

(6)
Material: TbHf2UN4
Method: DFT, GGA-PBE
State: relaxed

Energy, eV per atom: -10.24
Uncorrected formation energy, eV/atom: -1.604

Cell lengths 4.727, 4.727, 9.351 Å; angles 90.00, 90.00, 90.00 degrees
Space group I-4m2 (No. 119)
Unique sites:
Tb (0.000, 0.000, 0.000) x2
Hf (0.000, 0.000, 0.500) x2
Hf (0.000, 0.500, 0.250) x2
U (0.000, 0.500, 0.750) x2
N (0.000, 0.000, 0.259) x4
N (0.000, 0.500, 0.502) x4

---

Q: What is the energy in the sixth record?
A: -10.24 eV per atom

---

Q: Among the records above, which one has the highest energy?
A: NbZn3Ge

---

Q: Look up the energy of the fourth one.
A: -2.58 eV per atom

---

Q: energy of number 2 (Be2WBr)?
A: -4.52 eV per atom